(1)
Density functional theory data (PBE) for crystalline FeReS2 at its relaxed geometry.

a = 7.6130 Å, b = 7.6130 Å, c = 7.6130 Å
α = 22.55°, β = 22.55°, γ = 22.55°
With the nearest neighbours (Å) after each atom.
Fractional coordinates of all 4 atoms:
Fe  0.0000  0.0000  0.0000  6 S 2.25
Re  0.5000  0.5000  0.5000  2 S 2.26
S  0.3986  0.3986  0.3986  3 Fe 2.25, 1 Re 2.26
S  0.6014  0.6014  0.6014  3 Fe 2.25, 1 Re 2.26

Output
As for the formation energy from raw total energies: 0.066 eV per atom. The value obtained for the polymorph energy (0 for the lowest one) is 0.084 eV/atom.


(2)
Density functional theory data (PBE) for crystalline CdSi3Ir3 at its relaxed geometry.

a = 6.5727 Å, b = 6.5727 Å, c = 6.5727 Å
α = 90.00°, β = 90.00°, γ = 90.00°
With the nearest neighbours (Å) after each atom.
Fractional coordinates of all 14 atoms:
Cd  0.0000  0.0000  0.0000  12 Ir 3.67, 12 Si 3.67
Cd  0.5000  0.5000  0.5000  12 Ir 3.67, 12 Si 3.67
Si  0.0000  0.2500  0.5000  4 Ir 2.32
Si  0.0000  0.7500  0.5000  4 Ir 2.32
Si  0.2500  0.5000  0.0000  4 Ir 2.32
Si  0.5000  0.0000  0.2500  4 Ir 2.32
Si  0.5000  0.0000  0.7500  4 Ir 2.32
Si  0.7500  0.5000  0.0000  4 Ir 2.32
Ir  0.0000  0.5000  0.2500  4 Si 2.32
Ir  0.0000  0.5000  0.7500  4 Si 2.32
Ir  0.2500  0.0000  0.5000  4 Si 2.32
Ir  0.5000  0.2500  0.0000  4 Si 2.32
Ir  0.5000  0.7500  0.0000  4 Si 2.32
Ir  0.7500  0.0000  0.5000  4 Si 2.32

Output
As for the formation energy from raw total energies: -0.033 eV per atom.


(3)
Density functional theory data (PBE) for crystalline PmZn9Au2 at its relaxed geometry.

a = 8.7660 Å, b = 8.7660 Å, c = 3.1633 Å
α = 90.00°, β = 90.00°, γ = 120.00°
With the nearest neighbours (Å) after each atom.
Fractional coordinates of all 12 atoms:
Pm  0.0000  0.0000  0.0000  2 Pm 3.16, 12 Zn 3.20
Zn  0.0000  0.5000  0.0000  2 Au 2.53
Zn  0.1829  0.3657  0.5000  6 Zn 2.78-2.89, 2 Au 2.78
Zn  0.1829  0.8171  0.5000  6 Zn 2.78-2.89, 2 Au 2.78
Zn  0.3657  0.1829  0.5000  6 Zn 2.78-2.89, 2 Au 2.78
Zn  0.5000  0.0000  0.0000  2 Au 2.53
Zn  0.5000  0.5000  0.0000  2 Au 2.53
Zn  0.6343  0.8171  0.5000  6 Zn 2.78-2.89, 2 Au 2.78
Zn  0.8171  0.1829  0.5000  6 Zn 2.78-2.89, 2 Au 2.78
Zn  0.8171  0.6343  0.5000  6 Zn 2.78-2.89, 2 Au 2.78
Au  0.3333  0.6667  0.0000  9 Zn 2.53-2.78
Au  0.6667  0.3333  0.0000  9 Zn 2.53-2.78

Output
Its formation enthalpy at 0 K is -0.175 eV per atom. The value obtained for the polymorph energy (0 for the lowest one) is 0.120 eV/atom.


(4)
Density functional theory data (PBE) for crystalline Na4Hg2Sb at its relaxed geometry.

a = 8.1307 Å, b = 8.1307 Å, c = 8.1307 Å
α = 108.70°, β = 108.70°, γ = 111.03°
With the nearest neighbours (Å) after each atom.
Fractional coordinates of all 14 atoms:
Na  0.1431  0.5328  0.7470  2 Sb 3.13-3.19, 4 Hg 3.19-3.44, 1 Na 3.25
Na  0.1461  0.0357  0.7530  2 Sb 3.13-3.19, 4 Hg 3.19-3.44, 1 Na 3.25
Na  0.2828  0.3931  0.2470  2 Sb 3.13-3.19, 4 Hg 3.19-3.44, 1 Na 3.25
Na  0.4672  0.2143  0.6104  2 Sb 3.13-3.19, 4 Hg 3.19-3.44, 1 Na 3.25
Na  0.6039  0.8569  0.3896  2 Sb 3.13-3.19, 4 Hg 3.19-3.44, 1 Na 3.25
Na  0.6069  0.8539  0.8896  2 Sb 3.13-3.19, 4 Hg 3.19-3.44, 1 Na 3.25
Na  0.7857  0.3961  0.2530  2 Sb 3.13-3.19, 4 Hg 3.19-3.44, 1 Na 3.25
Na  0.9643  0.7172  0.1104  2 Sb 3.13-3.19, 4 Hg 3.19-3.44, 1 Na 3.25
Hg  0.3750  0.0131  0.1381  8 Na 3.19-3.44
Hg  0.7631  0.6250  0.6381  8 Na 3.19-3.44
Hg  0.8750  0.2369  0.8619  8 Na 3.19-3.44
Hg  0.9869  0.1250  0.3619  8 Na 3.19-3.44
Sb  0.2500  0.7500  0.5000  8 Na 3.13-3.19
Sb  0.5000  0.5000  0.0000  8 Na 3.13-3.19

Output
As for the formation energy from raw total energies: -0.263 eV per atom. The value obtained for the polymorph energy (0 for the lowest one) is 0.000 eV/atom.


(5)
Density functional theory data (PBE) for crystalline BiSeI2N at its relaxed geometry.

a = 6.2371 Å, b = 6.2371 Å, c = 3.7191 Å
α = 90.00°, β = 90.00°, γ = 90.00°
With the nearest neighbours (Å) after each atom.
Fractional coordinates of all 5 atoms:
Bi  0.0000  0.0000  0.0000  8 I 3.63, 2 Bi 3.72
Se  0.5000  0.5000  0.5000  2 N 1.86
I  0.0000  0.5000  0.5000  2 Se 3.12
I  0.5000  0.0000  0.5000  2 Se 3.12
N  0.5000  0.5000  0.0000  2 Se 1.86

Output
As for the formation energy from raw total energies: 0.779 eV per atom. The value obtained for the polymorph energy (0 for the lowest one) is 0.000 eV/atom.


(6)
Density functional theory data (PBE) for crystalline KRb2Cd3Au4 at its relaxed geometry.

a = 5.1476 Å, b = 5.1476 Å, c = 11.5031 Å
α = 90.00°, β = 90.00°, γ = 90.00°
With the nearest neighbours (Å) after each atom.
Fractional coordinates of all 10 atoms:
K  0.0000  0.0000  0.0000  4 Au 3.11
Rb  0.0000  0.5000  0.7277  8 Au 3.67-3.89, 7 Cd 3.80-4.05, 2 K 4.05
Rb  0.5000  0.0000  0.2723  8 Au 3.67-3.89, 7 Cd 3.80-4.05, 2 K 4.05
Cd  0.0000  0.5000  0.3970  5 Au 2.82-2.83
Cd  0.5000  0.0000  0.6030  5 Au 2.82-2.83
Cd  0.5000  0.5000  0.0000  4 Au 3.11
Au  0.0000  0.0000  0.5000  4 Cd 2.83
Au  0.0000  0.5000  0.1519  3 Cd 2.82-3.11, 2 K 3.11
Au  0.5000  0.0000  0.8481  3 Cd 2.82-3.11, 2 K 3.11
Au  0.5000  0.5000  0.5000  4 Cd 2.83

Output
Its formation enthalpy at 0 K is -0.219 eV per atom.


(7)
Density functional theory data (PBE) for crystalline Sm2Zn2AgPd5 at its relaxed geometry.

a = 9.6972 Å, b = 9.6972 Å, c = 3.8735 Å
α = 90.00°, β = 90.00°, γ = 90.00°
With the nearest neighbours (Å) after each atom.
Fractional coordinates of all 20 atoms:
Sm  0.1796  0.3204  0.0000  3 Zn 2.78-2.94
Sm  0.3204  0.8204  0.0000  3 Zn 2.78-2.94
Sm  0.6796  0.1796  0.0000  3 Zn 2.78-2.94
Sm  0.8204  0.6796  0.0000  3 Zn 2.78-2.94
Zn  0.1178  0.6178  0.0000  6 Pd 2.52-2.62, 1 Sm 2.78
Zn  0.3822  0.1178  0.0000  6 Pd 2.52-2.62, 1 Sm 2.78
Zn  0.6178  0.8822  0.0000  6 Pd 2.52-2.62, 1 Sm 2.78
Zn  0.8822  0.3822  0.0000  6 Pd 2.52-2.62, 1 Sm 2.78
Ag  0.0000  0.0000  0.0000  8 Pd 2.86
Ag  0.5000  0.5000  0.0000  8 Pd 2.86
Pd  0.0000  0.5000  0.5000  4 Zn 2.52
Pd  0.0675  0.7933  0.5000  2 Zn 2.62, 2 Ag 2.86, 1 Pd 2.92
Pd  0.2067  0.0675  0.5000  2 Zn 2.62, 2 Ag 2.86, 1 Pd 2.92
Pd  0.2933  0.5675  0.5000  2 Zn 2.62, 2 Ag 2.86, 1 Pd 2.92
Pd  0.4325  0.2933  0.5000  2 Zn 2.62, 2 Ag 2.86, 1 Pd 2.92
Pd  0.5000  0.0000  0.5000  4 Zn 2.52
Pd  0.5675  0.7067  0.5000  2 Zn 2.62, 2 Ag 2.86, 1 Pd 2.92
Pd  0.7067  0.4325  0.5000  2 Zn 2.62, 2 Ag 2.86, 1 Pd 2.92
Pd  0.7933  0.9325  0.5000  2 Zn 2.62, 2 Ag 2.86, 1 Pd 2.92
Pd  0.9325  0.2067  0.5000  2 Zn 2.62, 2 Ag 2.86, 1 Pd 2.92

Output
Its formation enthalpy at 0 K is -0.596 eV per atom.


(8)
Density functional theory data (PBE) for crystalline Nd3Tm6Sc2 at its relaxed geometry.

a = 12.9418 Å, b = 12.9418 Å, c = 12.9418 Å
α = 24.79°, β = 24.79°, γ = 24.79°
With the nearest neighbours (Å) after each atom.
Fractional coordinates of all 11 atoms:
Nd  0.0000  0.0000  0.0000  8 Tm 3.56-3.77, 6 Nd 3.65
Nd  0.3796  0.3796  0.3796  1 Sc 3.11, 3 Tm 3.22
Nd  0.6204  0.6204  0.6204  1 Sc 3.11, 3 Tm 3.22
Tm  0.0947  0.0947  0.0947  3 Sc 3.45, 7 Tm 3.47-3.75, 4 Nd 3.56-3.69
Tm  0.1871  0.1871  0.1871  3 Sc 3.27, 5 Tm 3.47-3.56
Tm  0.2808  0.2808  0.2808  3 Nd 3.22, 4 Tm 3.52-3.58
Tm  0.7192  0.7192  0.7192  3 Nd 3.22, 4 Tm 3.52-3.58
Tm  0.8129  0.8129  0.8129  3 Sc 3.27, 5 Tm 3.47-3.56
Tm  0.9053  0.9053  0.9053  3 Sc 3.45, 7 Tm 3.47-3.75, 4 Nd 3.56-3.69
Sc  0.4622  0.4622  0.4622  1 Sc 2.84, 1 Nd 3.11
Sc  0.5378  0.5378  0.5378  1 Sc 2.84, 1 Nd 3.11

Output
Its formation enthalpy at 0 K is 0.094 eV per atom.


(9)
Density functional theory data (PBE) for crystalline Th2AlGa6Tc at its relaxed geometry.

a = 12.3510 Å, b = 12.3510 Å, c = 12.3510 Å
α = 29.88°, β = 29.88°, γ = 29.88°
With the nearest neighbours (Å) after each atom.
Fractional coordinates of all 20 atoms:
Th  0.1321  0.1321  0.1321  12 Ga 3.16-3.29
Th  0.3058  0.3058  0.3058  12 Ga 3.31-3.64
Th  0.6942  0.6942  0.6942  12 Ga 3.31-3.64
Th  0.8679  0.8679  0.8679  12 Ga 3.16-3.29
Al  0.0000  0.0000  0.0000  6 Ga 2.49
Al  0.5000  0.5000  0.5000  2 Tc 2.61, 6 Ga 2.73
Ga  0.0516  0.6569  0.6569  1 Tc 2.45, 2 Ga 2.51, 1 Al 2.73
Ga  0.2044  0.2044  0.7475  1 Tc 2.47, 1 Al 2.49
Ga  0.2044  0.7475  0.2044  1 Tc 2.47, 1 Al 2.49
Ga  0.2525  0.7956  0.7956  1 Tc 2.47, 1 Al 2.49
Ga  0.3431  0.3431  0.9484  1 Tc 2.45, 2 Ga 2.51, 1 Al 2.73
Ga  0.3431  0.9484  0.3431  1 Tc 2.45, 2 Ga 2.51, 1 Al 2.73
Ga  0.6569  0.0516  0.6569  1 Tc 2.45, 2 Ga 2.51, 1 Al 2.73
Ga  0.6569  0.6569  0.0516  1 Tc 2.45, 2 Ga 2.51, 1 Al 2.73
Ga  0.7475  0.2044  0.2044  1 Tc 2.47, 1 Al 2.49
Ga  0.7956  0.2525  0.7956  1 Tc 2.47, 1 Al 2.49
Ga  0.7956  0.7956  0.2525  1 Tc 2.47, 1 Al 2.49
Ga  0.9484  0.3431  0.3431  1 Tc 2.45, 2 Ga 2.51, 1 Al 2.73
Tc  0.4263  0.4263  0.4263  6 Ga 2.45-2.47, 1 Al 2.61
Tc  0.5737  0.5737  0.5737  6 Ga 2.45-2.47, 1 Al 2.61

Output
Its formation enthalpy at 0 K is -0.253 eV per atom.


(10)
Density functional theory data (PBE) for crystalline Cs3BeF4 at its relaxed geometry.

a = 8.6357 Å, b = 7.3352 Å, c = 6.9074 Å
α = 90.00°, β = 90.00°, γ = 90.00°
With the nearest neighbours (Å) after each atom.
Fractional coordinates of all 16 atoms:
Cs  0.0000  0.0520  0.0000  5 F 2.98-3.33
Cs  0.2245  0.3764  0.4896  3 F 3.01-3.27
Cs  0.2755  0.6236  0.9896  3 F 3.01-3.27
Cs  0.5000  0.9480  0.5000  5 F 2.98-3.33
Cs  0.7245  0.6236  0.9896  3 F 3.01-3.27
Cs  0.7755  0.3764  0.4896  3 F 3.01-3.27
Be  0.0000  0.8432  0.5087  4 F 1.59-1.60
Be  0.5000  0.1568  0.0087  4 F 1.59-1.60
F  0.0000  0.0468  0.4309  1 Be 1.59
F  0.0000  0.7034  0.3316  1 Be 1.60
F  0.1504  0.8121  0.6363  1 Be 1.59
F  0.3496  0.1879  0.1363  1 Be 1.59
F  0.5000  0.2966  0.8316  1 Be 1.60
F  0.5000  0.9532  0.9309  1 Be 1.59
F  0.6504  0.1879  0.1363  1 Be 1.59
F  0.8496  0.8121  0.6363  1 Be 1.59

Output
As for the formation energy from raw total energies: -2.550 eV per atom.


(11)
Density functional theory data (PBE) for crystalline TmZr2WC4 at its relaxed geometry.

a = 6.0517 Å, b = 6.0517 Å, c = 11.7786 Å
α = 90.00°, β = 90.00°, γ = 148.10°
With the nearest neighbours (Å) after each atom.
Fractional coordinates of all 16 atoms:
Tm  0.1184  0.8816  0.7500  6 C 2.53-2.67
Tm  0.8816  0.1184  0.2500  6 C 2.53-2.67
Zr  0.3687  0.6313  0.5337  5 C 2.24-2.45
Zr  0.3687  0.6313  0.9663  5 C 2.24-2.45
Zr  0.6313  0.3687  0.0337  5 C 2.24-2.45
Zr  0.6313  0.3687  0.4663  5 C 2.24-2.45
W  0.1484  0.8516  0.2500  4 C 1.97-2.05
W  0.8516  0.1484  0.7500  4 C 1.97-2.05
C  0.0000  0.0000  0.0000  4 Zr 2.29
C  0.0000  0.0000  0.5000  4 Zr 2.29
C  0.2573  0.7427  0.1215  1 W 1.97
C  0.2573  0.7427  0.3785  1 W 1.97
C  0.4542  0.5458  0.7500  2 W 2.05
C  0.5458  0.4542  0.2500  2 W 2.05
C  0.7427  0.2573  0.6215  1 W 1.97
C  0.7427  0.2573  0.8785  1 W 1.97

Output
Its formation enthalpy at 0 K is -0.310 eV per atom.


Copy entry 10 word for word.
Density functional theory data (PBE) for crystalline Cs3BeF4 at its relaxed geometry.

a = 8.6357 Å, b = 7.3352 Å, c = 6.9074 Å
α = 90.00°, β = 90.00°, γ = 90.00°
With the nearest neighbours (Å) after each atom.
Fractional coordinates of all 16 atoms:
Cs  0.0000  0.0520  0.0000  5 F 2.98-3.33
Cs  0.2245  0.3764  0.4896  3 F 3.01-3.27
Cs  0.2755  0.6236  0.9896  3 F 3.01-3.27
Cs  0.5000  0.9480  0.5000  5 F 2.98-3.33
Cs  0.7245  0.6236  0.9896  3 F 3.01-3.27
Cs  0.7755  0.3764  0.4896  3 F 3.01-3.27
Be  0.0000  0.8432  0.5087  4 F 1.59-1.60
Be  0.5000  0.1568  0.0087  4 F 1.59-1.60
F  0.0000  0.0468  0.4309  1 Be 1.59
F  0.0000  0.7034  0.3316  1 Be 1.60
F  0.1504  0.8121  0.6363  1 Be 1.59
F  0.3496  0.1879  0.1363  1 Be 1.59
F  0.5000  0.2966  0.8316  1 Be 1.60
F  0.5000  0.9532  0.9309  1 Be 1.59
F  0.6504  0.1879  0.1363  1 Be 1.59
F  0.8496  0.8121  0.6363  1 Be 1.59

Output
As for the formation energy from raw total energies: -2.550 eV per atom.